ZrScCo2 | Alexandria via LeMat-Bulk | PBEsol | relaxed; raw total energy = -8.138 eV/atom; V = 15.0 Å³/atom; calculated formation energy = -346 meV per atom; symmetry = P4/mmm (123); D(E_F) = 2.830 states/eV/f.u.
1.0
4.408 0.000 0.000
0.000 4.408 0.000
0.000 0.000 3.088
Zr Sc Co
1 1 2
Cartesian
0.000 0.000 0.000
2.204 2.204 0.000
0.000 2.204 1.544
2.204 0.000 1.544

=====

ScZnTe2 | Alexandria via LeMat-Bulk | PBEsol | relaxed; raw total energy = -3.913 eV/atom; V = 23.6 Å³/atom; formation energy (no corrections) = -0.10 eV per atom; symmetry = F-43m (216); D(E_F) = 2.020 states/eV/f.u.
1.0
0.000 3.616 3.616
3.616 0.000 3.616
3.616 3.616 0.000
Sc Zn Te
1 1 2
Cartesian
0.000 0.000 0.000
1.808 1.808 1.808
3.616 3.616 3.616
5.424 5.424 5.424

=====

KMgRe | Alexandria via LeMat-Bulk | PBEsol | relaxed; raw total energy = -4.141 eV/atom; V = 20.4 Å³/atom; calculated formation energy = 1253 meV per atom; symmetry = P3m1 (156); energy above the lowest structure with this stoichiometry = 0.176 eV/atom; D(E_F) = 3.311 states/eV/f.u.
1.0
5.215 0.000 0.000
-2.608 4.516 0.000
0.000 0.000 2.600
K Mg Re
1 1 1
Cartesian
0.000 0.000 0.000
2.608 1.505 2.525
0.000 3.011 1.262

=====

TiAu | Alexandria via LeMat-Bulk | PBEsol | relaxed; raw total energy = -6.588 eV/atom; V = 16.4 Å³/atom; calculated formation energy = -465 meV per atom; symmetry = P4/nmm (129); D(E_F) = 1.010 states/eV/f.u.
1.0
3.304 0.000 0.000
0.000 3.304 0.000
0.000 0.000 5.996
Ti Au
2 2
Cartesian
0.826 0.826 0.813
2.478 2.478 5.183
0.826 0.826 3.831
2.478 2.478 2.165

=====

YNiSe | Alexandria via LeMat-Bulk | PBEsol | relaxed; raw total energy = -6.744 eV/atom; V = 17.5 Å³/atom; formation energy (no corrections) = -1.13 eV per atom; symmetry = P-6m2 (187); energy above the lowest structure with this stoichiometry = 0.000 eV/atom; D(E_F) = 1.885 states/eV/f.u.
1.0
3.977 0.000 0.000
-1.988 3.444 0.000
0.000 0.000 3.832
Y Ni Se
1 1 1
Cartesian
0.000 0.000 0.000
0.000 2.296 1.916
1.988 1.148 1.916

=====

CuSiRu3 | Alexandria via LeMat-Bulk | PBEsol | relaxed; raw total energy = -7.074 eV/atom; V = 15.9 Å³/atom; formation energy (no corrections) = 1.05 eV per atom; symmetry = Pm-3m (221); D(E_F) = 5.164 states/eV/f.u.
1.0
4.299 0.000 0.000
0.000 4.299 0.000
0.000 0.000 4.299
Cu Si Ru
1 1 3
Cartesian
0.000 0.000 0.000
2.150 2.150 2.150
0.000 2.150 2.150
2.150 0.000 2.150
2.150 2.150 0.000

=====

MoAuCl2 | Alexandria via LeMat-Bulk | PBEsol | relaxed; raw total energy = -4.636 eV/atom; V = 16.8 Å³/atom; formation energy (no corrections) = 0.29 eV per atom; symmetry = P2/m (10); energy above the lowest structure with this stoichiometry = 0.162 eV/atom; D(E_F) = 2.486 states/eV/f.u.
1.0
2.899 0.000 0.000
0.000 4.252 0.000
-0.244 0.000 5.443
Mo Au Cl
1 1 2
Cartesian
0.000 0.000 0.000
1.327 0.000 2.721
0.358 2.126 1.272
2.297 2.126 4.171

=====

ZnOsN2F | Alexandria via LeMat-Bulk | PBEsol | relaxed; raw total energy = -5.085 eV/atom; V = 11.0 Å³/atom; formation energy (no corrections) = 1.47 eV per atom; symmetry = P4/mmm (123); D(E_F) = 3.998 states/eV/f.u.
1.0
3.863 0.000 0.000
0.000 3.863 0.000
0.000 0.000 3.669
Zn Os N F
1 1 2 1
Cartesian
0.000 0.000 0.000
1.932 1.932 1.834
0.000 1.932 0.000
1.932 0.000 0.000
0.000 0.000 1.834

=====

Zr2OsRu | Alexandria via LeMat-Bulk | PBEsol | relaxed; raw total energy = -10.362 eV/atom; V = 17.2 Å³/atom; calculated formation energy = -220 meV per atom; symmetry = I-4m2 (119); D(E_F) = 2.628 states/eV/f.u.
1.0
-1.910 1.910 4.725
1.910 -1.910 4.725
1.910 1.910 -4.725
Zr Os Ru
2 1 1
Cartesian
0.000 0.000 0.000
0.000 1.910 2.362
0.000 0.000 4.725
1.910 0.000 2.362

=====

KCaBr2 | Alexandria via LeMat-Bulk | PBEsol | relaxed; raw total energy = -3.224 eV/atom; V = 39.1 Å³/atom; formation energy (no corrections) = -1.47 eV per atom; symmetry = C2/m (12); energy above the lowest structure with this stoichiometry = 0.000 eV/atom; D(E_F) = 1.548 states/eV/f.u.
1.0
3.684 -2.126 0.000
3.684 2.126 0.000
-2.354 0.000 9.977
K Ca Br
1 1 2
Cartesian
0.000 0.000 0.000
2.507 0.000 4.988
0.052 0.000 6.551
4.962 0.000 3.426

=====

K2TeBr | Alexandria via LeMat-Bulk | PBEsol | relaxed; raw total energy = -2.846 eV/atom; V = 39.5 Å³/atom; formation energy (no corrections) = -0.93 eV per atom; symmetry = I-42d (122); energy above the lowest structure with this stoichiometry = 0.177 eV/atom; D(E_F) = 2.594 states/eV/f.u.
1.0
-4.420 4.420 4.040
4.420 -4.420 4.040
4.420 4.420 -4.040
K Te Br
4 2 2
Cartesian
2.210 1.965 -1.010
2.454 -2.210 5.050
2.210 2.454 3.030
1.965 6.629 1.010
4.420 0.000 2.020
0.000 0.000 4.040
0.000 0.000 0.000
0.000 4.420 2.020

=====

MnAl4 | Alexandria via LeMat-Bulk | PBEsol | relaxed; raw total energy = -5.268 eV/atom; V = 17.3 Å³/atom; calculated formation energy = -42 meV per atom; symmetry = Im-3m (229); energy above the lowest structure with this stoichiometry = 0.060 eV/atom; D(E_F) = 2.965 states/eV/f.u.
1.0
-2.784 2.784 2.784
2.784 -2.784 2.784
2.784 2.784 -2.784
Mn Al
1 4
Cartesian
0.000 0.000 0.000
1.392 1.392 -1.392
1.392 -1.392 1.392
-1.392 1.392 1.392
1.392 1.392 1.392

=====

SrZrTa2 | Alexandria via LeMat-Bulk | PBEsol | relaxed; raw total energy = -8.097 eV/atom; V = 21.6 Å³/atom; calculated formation energy = 911 meV per atom; symmetry = P4/mmm (123); energy above the lowest structure with this stoichiometry = 0.332 eV/atom; D(E_F) = 4.154 states/eV/f.u.
1.0
4.166 0.000 0.000
0.000 4.166 0.000
0.000 0.000 4.988
Sr Zr Ta
1 1 2
Cartesian
0.000 0.000 0.000
2.083 2.083 0.000
0.000 2.083 2.494
2.083 0.000 2.494

=====

K2TcAg | Alexandria via LeMat-Bulk | PBEsol | relaxed; raw total energy = -3.023 eV/atom; V = 21.3 Å³/atom; calculated formation energy = 1188 meV per atom; symmetry = Pmmm (47); D(E_F) = 3.179 states/eV/f.u.
1.0
2.801 0.000 0.000
0.000 5.305 0.000
0.000 0.000 5.726
K Tc Ag
2 1 1
Cartesian
0.000 0.000 0.000
1.400 2.652 0.000
0.000 2.652 2.863
1.400 0.000 2.863

=====

ScFeTe2N | Alexandria via LeMat-Bulk | PBEsol | relaxed; raw total energy = -6.480 eV/atom; V = 18.6 Å³/atom; formation energy (no corrections) = -0.25 eV per atom; symmetry = P4/mmm (123); D(E_F) = 3.319 states/eV/f.u.
1.0
5.212 0.000 0.000
0.000 5.212 0.000
0.000 0.000 3.428
Sc Fe Te N
1 1 2 1
Cartesian
0.000 0.000 0.000
2.606 2.606 1.714
0.000 2.606 1.714
2.606 0.000 1.714
2.606 2.606 0.000

=====

MgSn5 | Alexandria via LeMat-Bulk | PBEsol | relaxed; raw total energy = -3.847 eV/atom; V = 25.4 Å³/atom; calculated formation energy = -11 meV per atom; symmetry = P-6m2 (187); D(E_F) = 3.199 states/eV/f.u.
1.0
3.297 0.000 0.000
-1.648 2.855 0.000
0.000 0.000 16.214
Mg Sn
1 5
Cartesian
0.000 0.000 0.000
0.000 0.000 5.305
0.000 0.000 10.909
0.000 1.903 2.501
0.000 1.903 8.107
0.000 1.903 13.713

=====

Mo2WSe6 | Alexandria via LeMat-Bulk | PBEsol | relaxed; raw total energy = -7.385 eV/atom; V = 21.1 Å³/atom; formation energy (no corrections) = -0.67 eV per atom; symmetry = P-6m2 (187)
1.0
3.268 0.000 0.000
-1.634 2.830 0.000
0.000 0.000 20.519
Mo W Se
2 1 6
Cartesian
0.000 0.000 3.723
0.000 0.000 16.796
1.634 0.943 10.259
0.000 0.000 8.581
0.000 0.000 11.938
1.634 0.943 2.059
1.634 0.943 5.388
1.634 0.943 15.130
1.634 0.943 18.460

=====

MnAsOs2 | Alexandria via LeMat-Bulk | PBEsol | relaxed; raw total energy = -9.542 eV/atom; V = 13.6 Å³/atom; calculated formation energy = 283 meV per atom; symmetry = P4/mmm (123); D(E_F) = 3.077 states/eV/f.u.
1.0
3.015 0.000 0.000
0.000 3.015 0.000
0.000 0.000 6.001
Mn As Os
1 1 2
Cartesian
0.000 0.000 0.000
0.000 0.000 3.001
1.507 1.507 1.454
1.507 1.507 4.547

=====

MgAlFe | Alexandria via LeMat-Bulk | PBEsol | relaxed; raw total energy = -4.518 eV/atom; V = 17.4 Å³/atom; calculated formation energy = 406 meV per atom; symmetry = F-43m (216); D(E_F) = 4.524 states/eV/f.u.
1.0
0.000 2.968 2.968
2.968 0.000 2.968
2.968 2.968 0.000
Mg Al Fe
1 1 1
Cartesian
0.000 0.000 0.000
2.968 2.968 2.968
4.453 4.453 4.453

=====

Mg4B3Ir2 | Alexandria via LeMat-Bulk | PBEsol | relaxed; raw total energy = -5.615 eV/atom; V = 14.2 Å³/atom; calculated formation energy = -330 meV per atom; symmetry = C2/m (12); D(E_F) = 2.830 states/eV/f.u.
1.0
4.283 -2.411 0.000
4.283 2.411 0.000
-2.972 0.000 6.176
Mg B Ir
4 3 2
Cartesian
0.630 0.000 2.107
-0.874 0.000 5.309
6.469 0.000 0.867
4.965 0.000 4.069
2.797 1.564 3.088
4.283 0.000 0.000
2.797 -1.564 3.088
3.325 0.000 1.747
2.270 0.000 4.430

=====

It is found that the magnetization values, taken in the order of the records, are 0.77 0.00 0.00 0.00 0.00 1.83 0.00 2.63 0.00 0.00 1.03 0.44 0.00 0.63 0.00 0.00 0.00 2.88 1.77 0.00 μB/f.u..